Compound: PrNd2In2Hg2
Source: the Alexandria database
Functional: PBE-GGA
Structure: relaxed

Cell lengths 4.9928, 4.9928, 27.8615 Å; angles 90.00, 90.00, 120.00 degrees
Space group R-3m (No. 166, hexagonal axes)
Symmetry-distinct sites (fractional):
Pr 0.0000 0.0000 0.0000 [3 per cell]
Nd 0.0000 0.0000 0.1309 [6 per cell]
In 0.0000 0.0000 0.2676 [6 per cell]
Hg 0.0000 0.0000 0.4187 [6 per cell]

Its crystal system is trigonal. The size of the total moment is 0.0 Bohr magnetons per cell. The value obtained for the formation energy is -2.2 eV/f.u. The value obtained for the total DFT energy (no corrections) is -22.6 eV/f.u. For the theoretical density, the calculation gives 8781 kg/m3. For the density of states at the Fermi level, the calculation gives 0.5697 states/eV/atom.